Entry 1:
The following is a GGA-PBE calculation of a relaxed structure of LiGaNi4H2, from Alexandria.

abc: 3.4222 3.4222 7.6353
angles: 90.00 90.00 90.00
Last column: nearest neighbours and their distance in Å.
Sites, in units of the cell vectors:
Li 0.0000 0.0000 0.5000  8 Ni 2.67, 8 H 2.94
Ni 0.5000 0.0000 0.2307  2 H 1.76
H 0.5000 0.5000 0.7179  4 Ni 1.76
Ni 0.5000 0.0000 0.7693  2 H 1.76
Ni 0.0000 0.5000 0.7693  2 H 1.76
Ga 0.0000 0.0000 0.0000  8 Ni 2.46
Ni 0.0000 0.5000 0.2307  2 H 1.76
H 0.5000 0.5000 0.2821  4 Ni 1.76

Results
E in eV per atom: -4.39
D(E_F) in states/eV per cell: 5.2

=====

Entry 2:
The following is a GGA-PBE calculation of a relaxed structure of Nd12Sm5Sc2, from Alexandria.

abc: 7.4803 10.3768 10.0335
angles: 65.37 90.00 111.13
Last column: nearest neighbours and their distance in Å.
Sites, in units of the cell vectors:
Nd 0.5918 0.6805 0.8485  6 Nd 3.46-3.76, 3 Sm 3.62-3.82
Sm 0.3263 0.6526 0.1912  2 Sc 3.37, 4 Nd 3.72-3.73, 2 Sm 3.75
Nd 0.4921 0.9841 0.3209  5 Nd 3.38-3.74, 2 Sc 3.47
Sm 0.6737 0.3474 0.8088  2 Sc 3.37, 4 Nd 3.72-3.73, 2 Sm 3.75
Nd 0.5948 0.6687 0.4996  4 Nd 3.27-3.58
Nd 0.9954 0.9908 0.2052  1 Sm 3.00, 2 Sc 3.05
Nd 0.9113 0.3195 0.1515  6 Nd 3.46-3.76, 3 Sm 3.62-3.82
Nd 0.9261 0.3313 0.5004  4 Nd 3.27-3.58
Nd 0.0739 0.6687 0.4996  4 Nd 3.27-3.58
Sm 0.8270 0.6540 0.1688  8 Nd 3.44-3.83, 2 Sm 3.75, 2 Sc 3.77
Sm 0.1730 0.3460 0.8312  8 Nd 3.44-3.83, 2 Sm 3.75, 2 Sc 3.77
Nd 0.0887 0.6805 0.8485  6 Nd 3.46-3.76, 3 Sm 3.62-3.82
Nd 0.4082 0.3195 0.1515  6 Nd 3.46-3.76, 3 Sm 3.62-3.82
Sc 0.3055 0.0000 0.0000  1 Sc 2.91, 2 Nd 3.05
Sm 0.0000 0.0000 0.5000  2 Nd 3.00
Nd 0.0046 0.0092 0.7948  1 Sm 3.00, 2 Sc 3.05
Sc 0.6945 0.0000 0.0000  1 Sc 2.91, 2 Nd 3.05
Nd 0.5079 0.0159 0.6791  5 Nd 3.38-3.74, 2 Sc 3.47
Nd 0.4052 0.3313 0.5004  4 Nd 3.27-3.58

Results
E in eV per atom: -4.76
Relative energy among the computed polymorphs in eV/atom: 0.0138
D(E_F) in states/eV per cell: 32.9
Formation energy from the elements in kJ/mol of atoms: 15.3

=====

Entry 3:
The following is a GGA-PBE calculation of a relaxed structure of LaCrTc2, from Alexandria.

abc: 4.8437 4.8437 8.7221
angles: 73.88 73.88 90.00
Last column: nearest neighbours and their distance in Å.
Sites, in units of the cell vectors:
Cr 0.5000 0.5000 0.0000  4 Tc 2.34
Tc 0.8750 0.6251 0.7500  2 Cr 2.34, 2 Tc 2.42
La 0.7500 0.2500 0.5000  8 Tc 3.37, 4 Cr 3.43
Tc 0.3751 0.1250 0.2500  2 Cr 2.34, 2 Tc 2.42
Tc 0.3749 0.6250 0.2500  2 Cr 2.34, 2 Tc 2.42
La 0.0000 0.0000 0.0000  8 Tc 3.37, 4 Cr 3.43
Cr 0.2500 0.7500 0.5000  4 Tc 2.34
Tc 0.3750 0.6249 0.7500  2 Cr 2.34, 2 Tc 2.42

Results
E in eV per atom: -8.10
Relative energy among the computed polymorphs in eV/atom: 0.4171
D(E_F) in states/eV per cell: 9.4
Formation energy from the elements in kJ/mol of atoms: 69.1

=====

Question: E of number 2 (Nd12Sm5Sc2)?
Answer: -4.76 eV per atom

=====

Question: Number 3 is which compound?
Answer: LaCrTc2

=====

Question: E of number 1 (LiGaNi4H2)?
Answer: -4.39 eV per atom

=====

Repeat the second record exactly.
The following is a GGA-PBE calculation of a relaxed structure of Nd12Sm5Sc2, from Alexandria.

abc: 7.4803 10.3768 10.0335
angles: 65.37 90.00 111.13
Last column: nearest neighbours and their distance in Å.
Sites, in units of the cell vectors:
Nd 0.5918 0.6805 0.8485  6 Nd 3.46-3.76, 3 Sm 3.62-3.82
Sm 0.3263 0.6526 0.1912  2 Sc 3.37, 4 Nd 3.72-3.73, 2 Sm 3.75
Nd 0.4921 0.9841 0.3209  5 Nd 3.38-3.74, 2 Sc 3.47
Sm 0.6737 0.3474 0.8088  2 Sc 3.37, 4 Nd 3.72-3.73, 2 Sm 3.75
Nd 0.5948 0.6687 0.4996  4 Nd 3.27-3.58
Nd 0.9954 0.9908 0.2052  1 Sm 3.00, 2 Sc 3.05
Nd 0.9113 0.3195 0.1515  6 Nd 3.46-3.76, 3 Sm 3.62-3.82
Nd 0.9261 0.3313 0.5004  4 Nd 3.27-3.58
Nd 0.0739 0.6687 0.4996  4 Nd 3.27-3.58
Sm 0.8270 0.6540 0.1688  8 Nd 3.44-3.83, 2 Sm 3.75, 2 Sc 3.77
Sm 0.1730 0.3460 0.8312  8 Nd 3.44-3.83, 2 Sm 3.75, 2 Sc 3.77
Nd 0.0887 0.6805 0.8485  6 Nd 3.46-3.76, 3 Sm 3.62-3.82
Nd 0.4082 0.3195 0.1515  6 Nd 3.46-3.76, 3 Sm 3.62-3.82
Sc 0.3055 0.0000 0.0000  1 Sc 2.91, 2 Nd 3.05
Sm 0.0000 0.0000 0.5000  2 Nd 3.00
Nd 0.0046 0.0092 0.7948  1 Sm 3.00, 2 Sc 3.05
Sc 0.6945 0.0000 0.0000  1 Sc 2.91, 2 Nd 3.05
Nd 0.5079 0.0159 0.6791  5 Nd 3.38-3.74, 2 Sc 3.47
Nd 0.4052 0.3313 0.5004  4 Nd 3.27-3.58

Results
E in eV per atom: -4.76
Relative energy among the computed polymorphs in eV/atom: 0.0138
D(E_F) in states/eV per cell: 32.9
Formation energy from the elements in kJ/mol of atoms: 15.3